1.
Material: BaLaTl2
Method: DFT, GGA-PBEsol
State: optimized geometry

Cell lengths 4.8326, 4.8326, 10.8619 Å; angles 90.00, 90.00, 90.00 degrees
Last column: nearest neighbours and their distance in Å.
Space group I-4m2 (No. 119)
Asymmetric unit:
1 Ba 0.0000 0.0000 0.0000 [2 per cell]  8 Tl 3.42-3.63, 4 La 3.63
2 La 0.0000 0.5000 0.2500 [2 per cell]  8 Tl 3.42-3.63, 4 Ba 3.63
3 Tl 0.0000 0.0000 0.5000 [2 per cell]  4 Ba 3.42, 4 Tl 3.63, 4 La 3.63
4 Tl 0.0000 0.5000 0.7500 [2 per cell]  4 La 3.42, 4 Ba 3.63, 4 Tl 3.63



2.
Material: BaLaW2
Method: DFT, GGA-PBEsol
State: optimized geometry

Cell lengths 3.2914, 4.9049, 5.4924 Å; angles 90.00, 90.00, 90.00 degrees
Last column: nearest neighbours and their distance in Å.
Space group Pmmm (No. 47)
Asymmetric unit:
1 Ba 0.0000 0.0000 0.0000 [1 per cell]  4 La 2.95, 4 W 3.20, 2 Ba 3.29
2 La 0.5000 0.5000 0.0000 [1 per cell]  4 Ba 2.95, 4 W 3.20, 2 La 3.29
3 W 0.0000 0.5000 0.5000 [1 per cell]  6 W 2.95-3.29, 4 La 3.20
4 W 0.5000 0.0000 0.5000 [1 per cell]  6 W 2.95-3.29, 4 Ba 3.20



We obtain ΔH_f (0 K) values of -0.280, 1.399 eV per atom for the records listed above, in that order.